1.
The following is a DFT calculation (PBE) of crystalline LaTl2As2 at its relaxed geometry.

Calculated values
energy above the lowest structure with this stoichiometry	290	meV per atom
formation energy from the elements	-0.195	eV per atom

a = 5.443 Å, b = 5.443 Å, c = 6.096 Å
α = 63.48°, β = 63.48°, γ = 90.00°
Element x y z (fractional)
La  0.000  0.000  0.000
Tl  0.651  0.651  0.698
Tl  0.349  0.349  0.302
As  0.250  0.750  0.500
As  0.750  0.250  0.500

---

2.
The following is a DFT calculation (PBE) of crystalline LaTlAs2 at its relaxed geometry.

Calculated values
energy above the lowest structure with this stoichiometry	14	meV per atom
formation energy from the elements	-0.653	eV per atom

a = 5.977 Å, b = 5.977 Å, c = 4.676 Å
α = 79.74°, β = 79.74°, γ = 42.98°
Element x y z (fractional)
As  0.984  0.984  0.151
As  0.794  0.794  0.563
La  0.483  0.483  0.636
Tl  0.239  0.239  0.150

---

3.
The following is a DFT calculation (PBE) of crystalline LaTl2As2 at its relaxed geometry.

Calculated values
energy above the lowest structure with this stoichiometry	108	meV per atom
formation energy from the elements	-0.377	eV per atom

a = 7.658 Å, b = 7.658 Å, c = 4.832 Å
α = 90.00°, β = 90.00°, γ = 90.00°
Element x y z (fractional)
La  0.500  0.500  0.000
Tl  0.686  0.814  0.500
As  0.385  0.885  0.000
As  0.115  0.385  0.000
Tl  0.186  0.686  0.500
La  0.000  0.000  0.000
Tl  0.314  0.186  0.500
Tl  0.814  0.314  0.500
As  0.615  0.115  0.000
As  0.885  0.615  0.000

---

4.
The following is a DFT calculation (PBE) of crystalline LaTl3As at its relaxed geometry.

Calculated values
energy above the lowest structure with this stoichiometry	598	meV per atom
formation energy from the elements	0.831	eV per atom

a = 6.076 Å, b = 6.076 Å, c = 6.076 Å
α = 90.00°, β = 90.00°, γ = 90.00°
Element x y z (fractional)
Tl  0.500  0.000  0.000
Tl  0.000  0.000  0.500
As  0.500  0.500  0.500
La  0.000  0.000  0.000
Tl  0.000  0.500  0.000

---

5.
The following is a DFT calculation (PBE) of crystalline La2Tl2As at its relaxed geometry.

Calculated values
energy above the lowest structure with this stoichiometry	104	meV per atom
formation energy from the elements	-0.415	eV per atom

a = 7.936 Å, b = 7.936 Å, c = 4.811 Å
α = 90.00°, β = 90.00°, γ = 90.00°
Element x y z (fractional)
Tl  0.137  0.363  0.000
As  0.000  0.000  0.000
La  0.333  0.167  0.500
Tl  0.363  0.863  0.000
Tl  0.863  0.637  0.000
Tl  0.637  0.137  0.000
La  0.833  0.333  0.500
La  0.667  0.833  0.500
La  0.167  0.667  0.500
As  0.500  0.500  0.000

---

6.
The following is a DFT calculation (PBE) of crystalline LaTl2As at its relaxed geometry.

Calculated values
energy above the lowest structure with this stoichiometry	8	meV per atom
formation energy from the elements	-0.530	eV per atom

a = 4.517 Å, b = 4.517 Å, c = 5.365 Å
α = 90.00°, β = 90.00°, γ = 89.97°
Element x y z (fractional)
Tl  0.000  0.000  0.000
As  0.500  0.000  0.500
La  0.000  0.500  0.500
Tl  0.500  0.500  0.000

---

7.
The following is a DFT calculation (PBE) of crystalline LaTlAs at its relaxed geometry.

Calculated values
energy above the lowest structure with this stoichiometry	392	meV per atom
formation energy from the elements	-0.367	eV per atom

a = 5.157 Å, b = 5.157 Å, c = 5.157 Å
α = 60.00°, β = 60.00°, γ = 60.00°
Element x y z (fractional)
As  0.500  0.500  0.500
Tl  0.000  0.000  0.000
La  0.250  0.250  0.250

---

8.
The following is a DFT calculation (PBE) of crystalline LaTlAs2 at its relaxed geometry.

Calculated values
energy above the lowest structure with this stoichiometry	43	meV per atom
formation energy from the elements	-0.624	eV per atom

a = 4.881 Å, b = 4.142 Å, c = 4.877 Å
α = 90.02°, β = 90.00°, γ = 90.00°
Element x y z (fractional)
Tl  0.500  0.624  0.875
La  0.000  0.625  0.375
As  0.500  0.125  0.375
As  0.000  0.125  0.875